Version a
# ZnSiCl, optimized geometry, DFT PBE
data_ZnSiCl
_symmetry_space_group_name_H-M 'P 3 m 1'
_symmetry_Int_Tables_number 156
_cell_length_a 3.2278
_cell_length_b 3.2278
_cell_length_c 7.7189
_cell_angle_alpha 90.00
_cell_angle_beta 90.00
_cell_angle_gamma 120.00
loop_
_symmetry_equiv_pos_as_xyz
'x,y,z'
'-y,x-y,z'
'-x+y,-x,z'
'-y,-x,z'
'-x+y,y,z'
'x,x-y,z'
loop_
_atom_site_label
_atom_site_fract_x
_atom_site_fract_y
_atom_site_fract_z
Zn1 0.0000 0.0000 0.0000
Si1 0.3333 0.6667 0.7456
Cl1 0.6667 0.3333 0.2030
# DOS at the Fermi energy (states/eV/cell): 2.32
# Spin magnetization (μB/f.u.): 0.00

Version b
# ZnSiCl, optimized geometry, DFT PBE
data_ZnSiCl
_symmetry_space_group_name_H-M 'P 3 m 1'
_symmetry_Int_Tables_number 156
_cell_length_a 4.6893
_cell_length_b 4.6893
_cell_length_c 2.9993
_cell_angle_alpha 90.00
_cell_angle_beta 90.00
_cell_angle_gamma 120.00
loop_
_symmetry_equiv_pos_as_xyz
'x,y,z'
'-y,x-y,z'
'-x+y,-x,z'
'-y,-x,z'
'-x+y,y,z'
'x,x-y,z'
loop_
_atom_site_label
_atom_site_fract_x
_atom_site_fract_y
_atom_site_fract_z
Zn1 0.0000 0.0000 0.0000
Si1 0.6667 0.3333 0.6374
Cl1 0.3333 0.6667 0.5012
# DOS at the Fermi energy (states/eV/cell): 0.77
# Spin magnetization (μB/f.u.): 0.00

Energy comparison, zero being the most stable, in eV/atom: version a 0.000; version b 0.269.

Version a
# ZnSiCl, optimized geometry, DFT PBE
data_ZnSiCl
_symmetry_space_group_name_H-M 'F -4 3 m'
_symmetry_Int_Tables_number 216
_symmetry_space_group_name_Hall 'F -4 2 3'
_cell_length_a 6.511
_cell_length_b 6.511
_cell_length_c 6.511
_cell_angle_alpha 90.00
_cell_angle_beta 90.00
_cell_angle_gamma 90.00
loop_
_atom_site_label
_atom_site_fract_x
_atom_site_fract_y
_atom_site_fract_z
Zn1 0.000 0.000 0.000
Si1 0.250 0.250 0.750
Cl1 0.000 0.000 0.500
# DOS at the Fermi energy (states/eV/cell): 12.32
# Spin magnetization (μB/f.u.): 0.29

Version b
# ZnSiCl, optimized geometry, DFT PBE
data_ZnSiCl
_symmetry_space_group_name_H-M 'F m m 2'
_symmetry_Int_Tables_number 42
_symmetry_space_group_name_Hall 'F 2 -2'
_cell_length_a 3.240
_cell_length_b 5.457
_cell_length_c 15.173
_cell_angle_alpha 90.00
_cell_angle_beta 90.00
_cell_angle_gamma 90.00
loop_
_atom_site_label
_atom_site_fract_x
_atom_site_fract_y
_atom_site_fract_z
Zn1 0.000 0.000 0.000
Si1 0.000 0.000 0.636
Cl1 0.000 0.000 0.389
# DOS at the Fermi energy (states/eV/cell): 6.02
# Spin magnetization (μB/f.u.): 0.00

Version c
# ZnSiCl, optimized geometry, DFT PBE
data_ZnSiCl
_symmetry_space_group_name_H-M 'F -4 3 m'
_symmetry_Int_Tables_number 216
_symmetry_space_group_name_Hall 'F -4 2 3'
_cell_length_a 6.475
_cell_length_b 6.475
_cell_length_c 6.475
_cell_angle_alpha 90.00
_cell_angle_beta 90.00
_cell_angle_gamma 90.00
loop_
_atom_site_label
_atom_site_fract_x
_atom_site_fract_y
_atom_site_fract_z
Zn1 0.000 0.000 0.000
Si1 0.250 0.250 0.750
Cl1 0.250 0.250 0.250
# DOS at the Fermi energy (states/eV/cell): 8.93
# Spin magnetization (μB/f.u.): 0.87

Energy comparison, zero being the most stable, in eV/atom: version a 0.351; version b 0.000; version c 0.455.

Version a
# Zn3SiCl, optimized geometry, DFT PBE
data_Zn3SiCl
_symmetry_space_group_name_H-M 'P m -3 m'
_symmetry_Int_Tables_number 221
_symmetry_space_group_name_Hall '-P 4 2 3'
_cell_length_a 4.860
_cell_length_b 4.860
_cell_length_c 4.860
_cell_angle_alpha 90.00
_cell_angle_beta 90.00
_cell_angle_gamma 90.00
loop_
_atom_site_label
_atom_site_fract_x
_atom_site_fract_y
_atom_site_fract_z
Zn1 0.000 0.000 0.500
Si1 0.500 0.500 0.500
Cl1 0.000 0.000 0.000
# DOS at the Fermi energy (states/eV/cell): 5.14
# Spin magnetization (μB/f.u.): 0.00

Version b
# Zn3SiCl, optimized geometry, DFT PBE
data_Zn3SiCl
_symmetry_space_group_name_H-M 'P m -3 m'
_symmetry_Int_Tables_number 221
_symmetry_space_group_name_Hall '-P 4 2 3'
_cell_length_a 4.826
_cell_length_b 4.826
_cell_length_c 4.826
_cell_angle_alpha 90.00
_cell_angle_beta 90.00
_cell_angle_gamma 90.00
loop_
_atom_site_label
_atom_site_fract_x
_atom_site_fract_y
_atom_site_fract_z
Zn1 0.000 0.000 0.500
Si1 0.000 0.000 0.000
Cl1 0.500 0.500 0.500
# DOS at the Fermi energy (states/eV/cell): 1.18
# Spin magnetization (μB/f.u.): 0.00

Energy comparison, zero being the most stable, in eV/atom: version a 0.819; version b 0.000.

Version a
# ZnSi3Cl, optimized geometry, DFT PBE
data_ZnSi3Cl
_symmetry_space_group_name_H-M 'P m -3 m'
_symmetry_Int_Tables_number 221
_symmetry_space_group_name_Hall '-P 4 2 3'
_cell_length_a 4.750
_cell_length_b 4.750
_cell_length_c 4.750
_cell_angle_alpha 90.00
_cell_angle_beta 90.00
_cell_angle_gamma 90.00
loop_
_atom_site_label
_atom_site_fract_x
_atom_site_fract_y
_atom_site_fract_z
Zn1 0.000 0.000 0.000
Si1 0.000 0.500 0.500
Cl1 0.500 0.500 0.500
# DOS at the Fermi energy (states/eV/cell): 2.83
# Spin magnetization (μB/f.u.): 0.00

Version b
# ZnSi3Cl, optimized geometry, DFT PBE
data_ZnSi3Cl
_symmetry_space_group_name_H-M 'P m -3 m'
_symmetry_Int_Tables_number 221
_symmetry_space_group_name_Hall '-P 4 2 3'
_cell_length_a 4.799
_cell_length_b 4.799
_cell_length_c 4.799
_cell_angle_alpha 90.00
_cell_angle_beta 90.00
_cell_angle_gamma 90.00
loop_
_atom_site_label
_atom_site_fract_x
_atom_site_fract_y
_atom_site_fract_z
Zn1 0.000 0.000 0.000
Si1 0.000 0.000 0.500
Cl1 0.500 0.500 0.500
# DOS at the Fermi energy (states/eV/cell): 4.18
# Spin magnetization (μB/f.u.): 1.08

Energy comparison, zero being the most stable, in eV/atom: version a 0.275; version b 0.000.

Version a
# ZrSiCl2, optimized geometry, DFT PBE
data_ZrSiCl2
_symmetry_space_group_name_H-M 'I -4 2 d'
_symmetry_Int_Tables_number 122
_symmetry_space_group_name_Hall 'I -4 2bw'
_cell_length_a 9.085
_cell_length_b 9.085
_cell_length_c 5.327
_cell_angle_alpha 90.00
_cell_angle_beta 90.00
_cell_angle_gamma 90.00
loop_
_atom_site_label
_atom_site_fract_x
_atom_site_fract_y
_atom_site_fract_z
Zr1 0.000 0.000 0.000
Si1 0.000 0.000 0.500
Cl1 0.112 0.250 0.125
# DOS at the Fermi energy (states/eV/cell): 20.44
# Spin magnetization (μB/f.u.): 0.25

Version b
# ZrSiCl2, optimized geometry, DFT PBE
data_ZrSiCl2
_symmetry_space_group_name_H-M 'I -4 m 2'
_symmetry_Int_Tables_number 119
_symmetry_space_group_name_Hall 'I -4 -2'
_cell_length_a 4.041
_cell_length_b 4.041
_cell_length_c 9.275
_cell_angle_alpha 90.00
_cell_angle_beta 90.00
_cell_angle_gamma 90.00
loop_
_atom_site_label
_atom_site_fract_x
_atom_site_fract_y
_atom_site_fract_z
Zr1 0.000 0.000 0.000
Si1 0.000 0.500 0.250
Cl1 0.000 0.000 0.500
Cl2 0.000 0.500 0.750
# DOS at the Fermi energy (states/eV/cell): 5.59
# Spin magnetization (μB/f.u.): 0.00

Version c
# ZrSiCl2, optimized geometry, DFT PBE
data_ZrSiCl2
_symmetry_space_group_name_H-M 'C m m m'
_symmetry_Int_Tables_number 65
_symmetry_space_group_name_Hall '-C 2 2'
_cell_length_a 5.916
_cell_length_b 8.647
_cell_length_c 3.105
_cell_angle_alpha 90.00
_cell_angle_beta 90.00
_cell_angle_gamma 90.00
loop_
_atom_site_label
_atom_site_fract_x
_atom_site_fract_y
_atom_site_fract_z
Zr1 0.000 0.000 0.000
Si1 0.000 0.500 0.000
Cl1 0.250 0.250 0.500
# DOS at the Fermi energy (states/eV/cell): 4.41
# Spin magnetization (μB/f.u.): 0.00

Version d
# ZrSiCl2, optimized geometry, DFT PBE
data_ZrSiCl2
_symmetry_space_group_name_H-M 'I m m m'
_symmetry_Int_Tables_number 71
_symmetry_space_group_name_Hall '-I 2 2'
_cell_length_a 3.091
_cell_length_b 4.986
_cell_length_c 14.556
_cell_angle_alpha 90.00
_cell_angle_beta 90.00
_cell_angle_gamma 90.00
loop_
_atom_site_label
_atom_site_fract_x
_atom_site_fract_y
_atom_site_fract_z
Zr1 0.000 0.000 0.000
Si1 0.000 0.000 0.500
Cl1 0.000 0.500 0.356
# DOS at the Fermi energy (states/eV/cell): 6.02
# Spin magnetization (μB/f.u.): 0.00

Energy comparison, zero being the most stable, in eV/atom: version a 0.311; version b 0.561; version c 0.660; version d 0.000.

Version a
# ZrSiCl2, optimized geometry, DFT PBE
data_ZrSiCl2
_symmetry_space_group_name_H-M 'F -4 3 m'
_symmetry_Int_Tables_number 216
_symmetry_space_group_name_Hall 'F -4 2 3'
_cell_length_a 6.801
_cell_length_b 6.801
_cell_length_c 6.801
_cell_angle_alpha 90.00
_cell_angle_beta 90.00
_cell_angle_gamma 90.00
loop_
_atom_site_label
_atom_site_fract_x
_atom_site_fract_y
_atom_site_fract_z
Zr1 0.000 0.000 0.000
Si1 0.250 0.250 0.250
Cl1 0.000 0.000 0.500
Cl2 0.250 0.250 0.750
# DOS at the Fermi energy (states/eV/cell): 18.00
# Spin magnetization (μB/f.u.): 0.45

Version b
# ZrSiCl2, optimized geometry, DFT PBE
data_ZrSiCl2
_symmetry_space_group_name_H-M 'P 4/m m m'
_symmetry_Int_Tables_number 123
_symmetry_space_group_name_Hall '-P 4 2'
_cell_length_a 3.081
_cell_length_b 3.081
_cell_length_c 11.210
_cell_angle_alpha 90.00
_cell_angle_beta 90.00
_cell_angle_gamma 90.00
loop_
_atom_site_label
_atom_site_fract_x
_atom_site_fract_y
_atom_site_fract_z
Zr1 0.000 0.000 0.000
Si1 0.000 0.000 0.500
Cl1 0.500 0.500 0.142
# DOS at the Fermi energy (states/eV/cell): 3.15
# Spin magnetization (μB/f.u.): 0.25

Energy comparison, zero being the most stable, in eV/atom: version a 0.457; version b 0.000.